No. 1
Compound: Te3Pd13
Source: the Alexandria database
Functional: GGA-PBEsol
Structure: relaxed

Geometry as POSCAR:
```
Te3Pd13
1.0
-7.5230 -4.7008 1.1618
-2.6502 -2.2340 8.2479
-7.2034 3.9028 3.5948
Te Pd
6 26
direct
0.0000 0.0000 0.0000
0.6250 0.6250 0.6250
0.1250 0.6250 0.6250
0.6250 0.1250 0.6250
0.6250 0.6250 0.1250
0.2500 0.2500 0.2500
0.3460 0.8847 0.8847
0.5000 0.5000 0.5000
0.7384 0.7384 0.2616
0.8847 0.3460 0.8847
0.6250 0.1250 0.1250
0.3653 0.3653 0.9040
0.7384 0.2616 0.7384
0.8847 0.8847 0.8847
0.2616 0.2616 0.7384
0.5116 0.5116 0.9884
0.2616 0.7384 0.2616
0.9040 0.3653 0.3653
0.3653 0.9040 0.3653
0.2616 0.7384 0.7384
0.1250 0.1250 0.1250
0.5116 0.9884 0.9884
0.7500 0.7500 0.7500
0.9884 0.9884 0.5116
0.9884 0.5116 0.9884
0.1250 0.6250 0.1250
0.9884 0.5116 0.5116
0.5116 0.9884 0.5116
0.3653 0.3653 0.3653
0.8847 0.8847 0.3460
0.7384 0.2616 0.2616
0.1250 0.1250 0.6250
```

Results
uncorrected formation energy	-0.236	eV per atom
SG	Fd-3m

No. 2
Compound: Y2TePd2
Source: the Alexandria database
Functional: GGA-PBEsol
Structure: relaxed

Geometry as POSCAR:
```
Y2TePd2
1.0
3.7755 0.0000 0.0000
0.0000 7.5543 0.0000
0.0000 0.0000 7.5543
Y Te Pd
4 2 4
direct
0.5000 0.1720 0.6720
0.5000 0.6720 0.8280
0.5000 0.8280 0.3280
0.5000 0.3280 0.1720
0.0000 0.0000 0.0000
0.0000 0.5000 0.5000
0.0000 0.3741 0.8741
0.0000 0.8741 0.6259
0.0000 0.6259 0.1259
0.0000 0.1259 0.3741
```

Results
uncorrected formation energy	-1.023	eV per atom
SG	P4/mbm
polymorph energy (0 for the lowest one)	0	meV/atom

No. 3
Compound: Y2TePd2
Source: the Alexandria database
Functional: GGA-PBEsol
Structure: relaxed

Geometry as POSCAR:
```
Y2TePd2
1.0
-3.3038 1.9439 0.0997
-1.1900 -1.8617 -3.1340
-0.8991 -5.6194 6.0254
Y Te Pd
2 1 2
direct
0.3812 0.3812 0.7624
0.6188 0.6188 0.2376
0.0000 0.0000 0.0000
0.2500 0.7500 0.5000
0.7500 0.2500 0.5000
```

Results
uncorrected formation energy	-0.884	eV per atom
SG	I4/mmm
polymorph energy (0 for the lowest one)	140	meV/atom

No. 4
Compound: Zn2TePd2
Source: the Alexandria database
Functional: GGA-PBEsol
Structure: relaxed

Geometry as POSCAR:
```
Zn2TePd2
1.0
-1.3074 -1.0747 3.1398
2.3435 -2.6885 0.0555
3.8118 5.7202 1.5191
Zn Te Pd
2 1 2
direct
0.2500 0.7500 0.5000
0.7500 0.2500 0.5000
0.0000 0.0000 0.0000
0.3954 0.3954 0.7908
0.6046 0.6046 0.2092
```

Results
uncorrected formation energy	-0.264	eV per atom
SG	I4/mmm

No. 5
Compound: ThPd
Source: the Alexandria database
Functional: GGA-PBEsol
Structure: relaxed

Geometry as POSCAR:
```
ThPd
1.0
-0.9009 -3.9883 -1.9381
4.7545 0.5062 -3.2516
3.8370 -3.3404 5.0905
Th Pd
4 4
direct
0.2500 0.1374 0.1791
0.7500 0.8626 0.8209
0.7500 0.6374 0.3209
0.2500 0.3626 0.6791
0.2500 0.6458 0.0453
0.7500 0.3542 0.9547
0.7500 0.1458 0.4547
0.2500 0.8542 0.5453
```

Results
formation energy	-733	meV/atom
SG	Pnma

No. 6
Compound: ThPd3
Source: the Alexandria database
Functional: GGA-PBEsol
Structure: relaxed

Geometry as POSCAR:
```
ThPd3
1.0
-0.4623 3.9636 2.9422
-4.8012 -2.2649 2.2967
5.1548 -1.1497 2.3586
Pd Th
6 2
direct
0.2500 0.1604 0.3208
0.2500 0.6792 0.8396
0.2500 0.1604 0.8396
0.7500 0.8396 0.6792
0.7500 0.3208 0.1604
0.7500 0.8396 0.1604
0.7500 0.3333 0.6667
0.2500 0.6667 0.3333
```

Results
formation energy	-925	meV/atom
SG	P6_3/mmc